{
  "formula": "LiPOs2",
  "functional": "PBE-GGA",
  "state": "optimized geometry",
  "total_magnetization_mub_per_fu": 0.00,
  "space_group": "F-43m",
  "ef_mev_per_atom": 291,
  "lattice": [[-2.027, -3.487, 1.286], [0.214, -3.544, -2.305], [2.201, -3.323, 1.426]],
  "species": ["Li", "Os", "Os", "P"],
  "frac_coords": [[0.500, 0.500, 0.500], [0.000, 0.000, 0.000], [0.250, 0.250, 0.250], [0.750, 0.750, 0.750]]
}

---

{
  "formula": "LiPOs",
  "functional": "PBE-GGA",
  "state": "optimized geometry",
  "total_magnetization_mub_per_fu": 0.00,
  "space_group": "P3m1",
  "ef_mev_per_atom": -40,
  "lattice": [[-2.501, 0.143, -1.466], [0.392, -2.062, 2.004], [-2.272, 3.685, 4.237]],
  "species": ["Li", "Os", "P"],
  "frac_coords": [[0.000, 0.000, 0.994], [0.667, 0.333, 0.368], [0.333, 0.667, 0.638]]
}

---

{
  "formula": "LiPOs2",
  "functional": "PBE-GGA",
  "state": "optimized geometry",
  "total_magnetization_mub_per_fu": 0.00,
  "space_group": "Pmm2",
  "ef_mev_per_atom": 127,
  "lattice": [[2.786, 0.000, 0.000], [0.000, 3.897, 0.000], [0.000, 0.000, 4.897]],
  "species": ["Li", "Os", "Os", "P"],
  "frac_coords": [[0.500, 0.500, 0.737], [0.000, 0.000, 0.011], [0.500, 0.500, 0.238], [0.000, 0.000, 0.514]]
}

---

{
  "formula": "LiPOs",
  "functional": "PBE-GGA",
  "state": "optimized geometry",
  "total_magnetization_mub_per_fu": 0.00,
  "space_group": "F-43m",
  "ef_mev_per_atom": 37,
  "lattice": [[3.919, 0.000, 0.000], [1.959, 3.394, 0.000], [1.959, 1.131, 3.199]],
  "species": ["Li", "Os", "P"],
  "frac_coords": [[0.500, 0.500, 0.500], [0.750, 0.750, 0.750], [0.000, 0.000, 0.000]]
}

---

{
  "formula": "LiPOs2",
  "functional": "PBE-GGA",
  "state": "optimized geometry",
  "total_magnetization_mub_per_fu": 0.00,
  "space_group": "Cm",
  "ef_mev_per_atom": 42,
  "lattice": [[4.409, 0.003, -0.002], [3.444, 2.752, -0.002], [1.132, 0.397, 4.170]],
  "species": ["Li", "Os", "Os", "P"],
  "frac_coords": [[0.751, 0.751, 0.771], [0.000, 0.000, 0.936], [0.250, 0.250, 0.293], [0.499, 0.499, 0.500]]
}

---

{
  "formula": "LiPOs2",
  "functional": "PBE-GGA",
  "state": "optimized geometry",
  "total_magnetization_mub_per_fu": 0.00,
  "space_group": "Cmmm",
  "ef_mev_per_atom": 344,
  "lattice": [[2.823, -0.007, 0.000], [-1.353, 2.478, 0.000], [0.000, 0.000, 8.218]],
  "species": ["Li", "Os", "Os", "P"],
  "frac_coords": [[0.500, 0.500, 0.750], [0.000, 0.000, 0.032], [0.000, 0.000, 0.468], [0.500, 0.500, 0.250]]
}

---

{
  "formula": "LiPOs4",
  "functional": "PBE-GGA",
  "state": "optimized geometry",
  "total_magnetization_mub_per_fu": 0.00,
  "space_group": "F-43m",
  "ef_mev_per_atom": 874,
  "lattice": [[0.000, 3.644, 3.644], [3.644, 0.000, 3.644], [3.644, 3.644, 0.000]],
  "species": ["Li", "P", "Os", "Os", "Os", "Os"],
  "frac_coords": [[0.000, 0.000, 0.000], [0.750, 0.750, 0.750], [0.874, 0.375, 0.375], [0.375, 0.375, 0.874], [0.375, 0.874, 0.375], [0.375, 0.375, 0.375]]
}

---

{
  "formula": "LiPOs2",
  "functional": "PBE-GGA",
  "state": "optimized geometry",
  "total_magnetization_mub_per_fu": 0.00,
  "space_group": "Pmmm",
  "ef_mev_per_atom": 392,
  "lattice": [[2.848, 0.000, 0.000], [0.000, 4.633, 0.000], [0.000, 0.000, 4.021]],
  "species": ["Li", "Os", "Os", "P"],
  "frac_coords": [[0.000, 0.500, 0.500], [0.000, 0.000, 0.000], [0.500, 0.500, 0.000], [0.500, 0.000, 0.500]]
}